# 1
Entry from OQMD via LeMat-Bulk: an optimized crystal structure of Li3B7Os (PBE).

Energy = -5.59 eV/atom
Magnetic moment = 0.00 Bohr magnetons per cell
SG = Cm

```
22
Lattice="1.497 -17.990 0.000 1.497 17.990 0.000 -0.074 0.000 4.576" Properties=species:S:1:pos:R:3 pbc="T T T"
B 1.495 -11.874 0.413
B 1.495 11.874 0.413
B 1.497 -7.013 0.415
B 1.497 7.013 0.415
B 1.544 -3.807 0.485
B 1.544 3.807 0.485
B 1.433 -3.128 1.966
B 1.433 3.128 1.966
B 1.483 -3.966 3.436
B 1.483 3.966 3.436
B 1.480 -12.989 3.555
B 1.480 12.989 3.555
B 1.433 -8.632 4.486
B 1.433 8.632 4.486
Li 2.792 -1.351 1.552
Li 2.792 1.351 1.552
Li 1.448 -10.483 3.040
Li 1.448 10.483 3.040
Li 1.519 -15.593 3.831
Li 1.519 15.593 3.831
Os 1.489 -5.353 1.839
Os 1.489 5.353 1.839
```



# 2
Entry from OQMD via LeMat-Bulk: an optimized crystal structure of KRbDy2Sb2 (PBE).

ΔE to the lowest computed polymorph = 311 meV/atom
Energy = -3.56 eV/atom
Magnetic moment = 1.55 Bohr magnetons per cell
SG = P3m1

```
6
Lattice="-1.035 3.162 -3.429 -0.893 -4.644 -0.684 -13.201 1.718 5.570" Properties=species:S:1:pos:R:3 pbc="T T T"
Dy -4.429 -1.588 -0.127
Dy -11.188 -0.708 2.725
K -0.299 0.039 0.126
Rb -7.841 1.452 0.378
Sb -3.457 0.882 -1.472
Sb -9.236 1.202 3.897
```



# 3
Entry from OQMD via LeMat-Bulk: an optimized crystal structure of InTcO3 (PBE).

Energy = -6.67 eV/atom
Magnetic moment = 0.01 Bohr magnetons per cell
SG = R-3c

```
10
Lattice="2.784 -1.608 -4.521 -2.784 -1.608 -4.521 0.000 3.215 -4.521" Properties=species:S:1:pos:R:3 pbc="T T T"
In 0.000 0.000 -3.391
In 0.000 0.000 -10.172
O 1.289 -0.983 -5.651
O -0.207 -1.608 -7.912
O -1.496 -0.625 -5.651
O 1.496 0.625 -7.912
O 0.207 1.608 -5.651
O -1.289 0.983 -7.912
Tc 0.000 0.000 0.000
Tc 0.000 0.000 -6.781
```



# 4
Entry from OQMD via LeMat-Bulk: an optimized crystal structure of SmHfAsO (PBE).

ΔE to the lowest computed polymorph = 184 meV/atom
Energy = -7.79 eV/atom
Magnetic moment = 0.02 Bohr magnetons per cell
SG = Pmc2_1

```
8
Lattice="4.056 0.000 0.000 0.000 7.432 0.000 0.000 0.000 5.925" Properties=species:S:1:pos:R:3 pbc="T T T"
As 0.000 6.168 2.654
As 0.000 1.264 5.616
Hf 2.028 2.930 0.026
Hf 2.028 4.502 2.988
O 2.028 2.636 2.079
O 2.028 4.796 5.042
Sm 0.000 1.641 2.672
Sm 0.000 5.790 5.635
```



# 5
Entry from OQMD via LeMat-Bulk: an optimized crystal structure of TaAlFeOs (PBE).

ΔE to the lowest computed polymorph = 0 meV/atom
Energy = -9.28 eV/atom
Magnetic moment = 0.00 Bohr magnetons per cell
SG = F-43m

```
4
Lattice="0.000 3.044 3.044 3.044 0.000 3.044 3.044 3.044 0.000" Properties=species:S:1:pos:R:3 pbc="T T T"
Al 0.000 0.000 0.000
Fe 4.565 4.565 4.565
Os 1.522 1.522 1.522
Ta 3.044 3.044 3.044
```



# 6
Entry from OQMD via LeMat-Bulk: an optimized crystal structure of PdS2Br4Cl2 (PBE).

ΔE to the lowest computed polymorph = 0 meV/atom
Energy = -2.82 eV/atom
SG = P-1

```
9
Lattice="4.689 0.000 0.000 -0.327 7.061 0.000 -1.604 -2.185 8.231" Properties=species:S:1:pos:R:3 pbc="T T T"
Br 2.804 5.602 1.252
Br -0.274 3.066 1.760
Br 3.033 1.810 6.472
Br -0.045 -0.725 6.979
Cl 0.467 0.325 3.571
Cl 2.291 4.551 4.660
Pd 0.000 0.000 0.000
S 0.944 1.167 1.774
S 1.814 3.710 6.458
```



# 7
Entry from OQMD via LeMat-Bulk: an optimized crystal structure of NaLuB (PBE).

ΔE to the lowest computed polymorph = 556 meV/atom
Energy = -3.07 eV/atom
Magnetic moment = 0.90 Bohr magnetons per cell
SG = F-43m

```
3
Lattice="2.945 -3.262 -0.371 0.525 -2.882 3.297 -1.370 -4.165 -0.473" Properties=species:S:1:pos:R:3 pbc="T T T"
B 0.525 -2.577 0.613
Lu 0.000 0.000 0.000
Na 1.575 -7.732 1.839
```



# 8
Entry from OQMD via LeMat-Bulk: an optimized crystal structure of Zr3Al3Ir2Pt (PBE).

Energy = -7.71 eV/atom
Magnetic moment = 0.01 Bohr magnetons per cell
SG = P-62m

```
9
Lattice="-6.545 -2.955 -0.392 5.529 -3.035 -3.457 0.717 -1.971 2.878" Properties=species:S:1:pos:R:3 pbc="T T T"
Al -1.704 -0.769 -0.102
Al 1.439 -0.790 -0.900
Al -0.752 -4.431 -2.847
Ir -2.521 -2.982 -1.414
Ir 1.504 -3.008 -2.435
Pt 0.359 -0.986 1.439
Zr -3.537 -2.744 1.206
Zr -0.053 -3.411 -0.119
Zr 3.649 -2.792 -0.618
```